Entry 1:
A plane-wave DFT calculation with PBEsol was carried out for an optimized crystal structure of KLuNb6Cl18.

## Properties
Total moment ... 0.00 μB per cell
Raw total energy ... -146.2 eV/cell
Space group ... R3
ΔE_f (raw) ... -1505 meV per atom

Cell and atoms, written as extended XYZ:
```
26
Lattice="-1.4515 6.7458 6.1633 -2.7091 -2.0917 8.5956 6.6208 1.0745 7.3275" Properties=species:S:1:pos:R:3 pbc="T T T"
Cl 3.7467 0.7391 11.9724
Cl 4.5976 0.4638 8.8037
Cl -2.1450 5.2306 13.2795
Cl 2.1745 2.5507 7.7740
Cl 0.2820 3.1767 14.3199
Cl 1.4902 -0.2425 9.6244
Cl -0.2819 4.6053 6.9598
Cl 0.9698 5.9648 12.4565
Cl -2.0067 2.1874 11.9398
Cl 4.1445 6.5256 11.5111
Cl 1.9689 5.6558 9.2006
Cl -1.6807 -0.7786 10.5456
Cl 3.4958 3.8311 13.4192
Cl 2.7284 1.1402 15.1542
Cl 4.4624 3.5455 10.1480
Cl 0.4913 0.0807 12.8827
Cl -1.2891 4.9900 10.1083
Cl -1.0405 1.8936 8.6681
Nb 0.5733 3.6417 9.2595
Nb 2.4888 4.4647 11.2822
Nb 1.8842 2.0788 12.8201
Nb -0.0354 1.2634 10.8128
Nb 2.7047 1.8478 10.0458
Nb -0.2465 3.8902 12.0354
K 2.5222 4.2562 16.7684
Lu -4.1346 4.6526 14.7668
```


Entry 2:
A plane-wave DFT calculation with PBEsol was carried out for an optimized crystal structure of KRb2LuCl6.

## Properties
Total moment ... 0.00 μB per cell
Raw total energy ... -41.0 eV/cell
Space group ... Fm-3m
ΔE_f (raw) ... -2093 meV per atom

Cell and atoms, written as extended XYZ:
```
10
Lattice="7.7125 0.0000 0.0000 3.8563 6.6793 0.0000 3.8563 2.2264 6.2973" Properties=species:S:1:pos:R:3 pbc="T T T"
Rb 3.8563 2.2264 1.5743
Rb 11.5688 6.6793 4.7229
Cl 9.7728 3.2634 4.8308
Cl 7.7125 6.8318 4.8308
Cl 9.7728 5.6423 1.4665
Cl 5.6523 3.2634 4.8308
Cl 7.7125 2.0739 1.4665
Cl 5.6523 5.6423 1.4665
K 7.7125 4.4528 3.1486
Lu 0.0000 0.0000 0.0000
```


Entry 3:
A plane-wave DFT calculation with PBEsol was carried out for an optimized crystal structure of KMgCl2.

## Properties
Total moment ... 0.00 μB per cell
Raw total energy ... -11.8 eV/cell
Space group ... C2/m
Energy relative to the lowest polymorph listed for this composition ... 0.162 eV per atom
ΔE_f (raw) ... -1227 meV per atom

Cell and atoms, written as extended XYZ:
```
4
Lattice="-2.6876 1.9074 1.2353 -3.0388 -1.7595 -3.8009 -1.4659 -3.9503 3.0039" Properties=species:S:1:pos:R:3 pbc="T T T"
K -3.5962 -1.9012 0.2191
Cl -0.7330 -1.9751 1.5020
Cl -1.5194 -0.8797 -1.9005
Mg -1.3438 0.9537 0.6176
```